# 1
## KRbAuO2 (PBE)

Data for an optimized crystal structure of KRbAuO2.

Calculated values
* raw formation energy: -0.818 eV per atom
* SG: Cmme, No. 67

```
KRbAuO2
1.0
4.457 -6.687 0.000
4.457 6.687 0.000
0.000 0.000 4.729
K Rb Au O
2 2 2 4
direct
0.250 0.250 0.000
0.750 0.750 0.000
0.250 0.750 0.769
0.750 0.250 0.231
0.000 0.000 0.500
0.500 0.500 0.500
0.109 0.891 0.228
0.391 0.609 0.228
0.609 0.391 0.772
0.891 0.109 0.772
```

---

# 2
## Y2Tc2P (PBE)

Data for an optimized crystal structure of Y2Tc2P.

Calculated values
* electronic total energy: -81.03 eV/cell
* SG: P4/mbm, No. 127

```
Y2Tc2P
1.0
6.419 0.000 0.000
0.000 6.419 0.000
0.000 0.000 4.744
Y Tc P
4 4 2
direct
0.176 0.324 0.000
0.324 0.824 0.000
0.676 0.176 0.000
0.824 0.676 0.000
0.134 0.634 0.500
0.366 0.134 0.500
0.634 0.866 0.500
0.866 0.366 0.500
0.000 0.000 0.500
0.500 0.500 0.500
```

---

# 3
## YTmMnCu (PBE)

Data for an optimized crystal structure of YTmMnCu.

Calculated values
* electronic total energy: -24.11 eV/cell
* SG: F-43m, No. 216

```
YTmMnCu
1.0
0.000 3.488 3.488
3.488 0.000 3.488
3.488 3.488 0.000
Y Tm Mn Cu
1 1 1 1
direct
0.000 0.000 0.000
0.500 0.500 0.500
0.250 0.250 0.250
0.750 0.750 0.750
```

---

# 4
## U7Tc2Os2 (PBE)

Data for an optimized crystal structure of U7Tc2Os2.

Calculated values
* electronic total energy: -121.77 eV/cell
* SG: C2/m, No. 12

```
U7Tc2Os2
1.0
5.058 -4.800 0.000
5.058 4.800 0.000
-1.453 0.000 4.344
U Tc Os
7 2 2
direct
0.000 0.000 0.000
0.054 0.598 0.810
0.402 0.946 0.190
0.429 0.429 0.213
0.571 0.571 0.787
0.598 0.054 0.810
0.946 0.402 0.190
0.219 0.781 0.500
0.781 0.219 0.500
0.208 0.208 0.661
0.792 0.792 0.339
```

---

# 5
## Li2ErAg3 (PBE)

Data for an optimized crystal structure of Li2ErAg3.

Calculated values
* electronic total energy: -18.31 eV/cell
* SG: P4/mmm, No. 123

```
Li2ErAg3
1.0
3.397 0.000 0.000
0.000 3.397 0.000
0.000 0.000 9.774
Li Er Ag
2 1 3
direct
0.000 0.000 0.151
0.000 0.000 0.849
0.000 0.000 0.500
0.500 0.500 0.000
0.500 0.500 0.301
0.500 0.500 0.699
```

---

# 6
## CaCu4Au12 (PBE)

Data for an optimized crystal structure of CaCu4Au12.

Calculated values
* electronic total energy: -55.51 eV/cell
* SG: Im-3, No. 204

```
CaCu4Au12
1.0
-4.406 4.406 4.406
4.406 -4.406 4.406
4.406 4.406 -4.406
Ca Cu Au
1 4 12
direct
0.000 0.000 0.000
0.000 0.000 0.500
0.000 0.500 0.000
0.500 0.000 0.000
0.500 0.500 0.500
0.158 0.502 0.344
0.158 0.814 0.656
0.186 0.344 0.842
0.344 0.158 0.502
0.344 0.842 0.186
0.498 0.656 0.842
0.502 0.344 0.158
0.656 0.158 0.814
0.656 0.842 0.498
0.814 0.656 0.158
0.842 0.186 0.344
0.842 0.498 0.656
```

---

# 7
## ReSb2Cl (PBE)

Data for an optimized crystal structure of ReSb2Cl.

Calculated values
* raw formation energy: 0.502 eV per atom
* offset from the most stable computed form: 0.390 eV per atom
* SG: P4mm, No. 99

```
ReSb2Cl
1.0
3.124 0.000 0.000
0.000 3.124 0.000
0.000 0.000 9.600
Re Sb Cl
1 2 1
direct
0.000 0.000 0.000
0.000 0.000 0.482
0.500 0.500 0.178
0.500 0.500 0.834
```

---

# 8
## Ta2Ti4VMo2 (PBE)

Data for an optimized crystal structure of Ta2Ti4VMo2.

Calculated values
* electronic total energy: -84.23 eV/cell
* SG: P-1, No. 2

```
Ta2Ti4VMo2
1.0
5.421 0.000 0.000
2.500 4.935 0.000
0.272 1.947 5.745
Ta Ti V Mo
2 4 1 2
direct
0.226 0.048 0.104
0.774 0.952 0.896
0.265 0.009 0.624
0.316 0.474 0.654
0.684 0.526 0.346
0.735 0.991 0.376
0.500 0.500 0.000
0.140 0.500 0.243
0.860 0.500 0.757
```